a) # Ta4Mn

A relaxed structure of Ta4Mn (GGA-PBEsol, Alexandria via LeMat-Bulk).

Lattice parameters (Å, degrees): 7.154 7.154 7.154 149.26 149.26 44.02
Sites, in units of the cell vectors:
Ta  0.094  0.094  0.000
Ta  0.250  0.750  0.500
Ta  0.750  0.250  0.500
Ta  0.906  0.906  0.000
Mn  0.500  0.500  0.000



b) # Ta4Mn

A relaxed structure of Ta4Mn (GGA-PBEsol, Alexandria via LeMat-Bulk).

Lattice parameters (Å, degrees): 5.326 5.326 5.326 94.93 94.93 145.92
Sites, in units of the cell vectors:
Ta  0.091  0.713  0.804
Ta  0.287  0.091  0.378
Ta  0.713  0.909  0.622
Ta  0.909  0.287  0.196
Mn  0.500  0.500  0.000



b) wins, 1.076 eV/atom ahead of the next structure.



a) # TaMn2Tl

A relaxed structure of TaMn2Tl (GGA-PBEsol, Alexandria via LeMat-Bulk).

Lattice parameters (Å, degrees): 4.360 4.360 4.360 60.00 60.00 60.00
Sites, in units of the cell vectors:
Ta  0.000  0.000  0.000
Mn  0.250  0.250  0.250
Mn  0.750  0.750  0.750
Tl  0.500  0.500  0.500



b) # TaMn2Tl

A relaxed structure of TaMn2Tl (GGA-PBEsol, Alexandria via LeMat-Bulk).

Lattice parameters (Å, degrees): 4.476 4.476 4.476 60.00 60.00 60.00
Sites, in units of the cell vectors:
Ta  0.000  0.000  0.000
Mn  0.500  0.500  0.500
Mn  0.750  0.750  0.750
Tl  0.250  0.250  0.250



a) wins, 0.257 eV/atom ahead of the next structure.